1.
A plane-wave DFT calculation with GGA-PBE was carried out for a relaxed Hf2ZnFeC crystal.

abc: 4.5116 4.5116 3.7043
angles: 90.00 90.00 90.00
With the nearest neighbours (Å) after each atom.
Fractional positions:
Hf 0.0000 0.5000 0.0000  2 C 2.26
Hf 0.5000 0.0000 0.0000  2 C 2.26
Zn 0.0000 0.0000 0.5000  8 Hf 2.92, 4 Fe 3.19
Fe 0.5000 0.5000 0.5000  2 C 1.85
C 0.5000 0.5000 0.0000  2 Fe 1.85

## Properties
Total magnetization ... 1.23 μB/f.u.
DOS(E_F) ... 3.01 states/eV/cell
ΔH_f (0 K) ... -349 meV per atom
Uncorrected energy ... -8.1224 eV per atom

---

2.
A plane-wave DFT calculation with GGA-PBE was carried out for a relaxed BaLi4Ac crystal.

abc: 6.4346 6.4346 6.4346
angles: 60.00 60.00 60.00
With the nearest neighbours (Å) after each atom.
Fractional positions:
Ba 0.0000 0.0000 0.0000  12 Li 3.77, 4 Ac 3.94
Li 0.3751 0.3751 0.3751  6 Li 3.21-3.22
Li 0.3751 0.3751 0.8746  6 Li 3.21-3.22
Li 0.3751 0.8746 0.3751  6 Li 3.21-3.22
Li 0.8746 0.3751 0.3751  6 Li 3.21-3.22
Ac 0.7500 0.7500 0.7500  12 Li 3.77, 4 Ba 3.94

## Properties
Total magnetization ... 0.00 μB/f.u.
DOS(E_F) ... 6.98 states/eV/cell
ΔH_f (0 K) ... 89 meV per atom
Uncorrected energy ... -2.1917 eV per atom